## MnCu3O (GGA+U)

Data for a relaxed structure of MnCu3O.

Results
As for the energy above the most stable polymorph in this dataset: 0.0 meV per atom. As for the spin magnetization: 4.76 μB per formula unit. The calculation puts the energy at -4.801 eV per atom.

POSCAR file:
```
MnCu3O
1.0
4.0623 0.0000 0.0000
0.0000 4.0623 0.0000
0.0000 0.0000 4.0623
Mn O Cu
1 1 3
Direct
0.5000 0.5000 0.5000
0.0000 0.0000 0.0000
0.0000 0.5000 0.0000
0.0000 0.0000 0.5000
0.5000 0.0000 0.0000
```